ZnCoSbPt2, optimized geometry, DFT GGA-PBE; formation energy (no corrections) = 1.030 eV per atom; DOS at the Fermi energy = 1.5241 states/eV/atom
1.0
4.650 0.000 0.000
0.000 4.904 0.000
0.000 0.000 4.650
Sb Zn Co Pt
1 1 1 2
Direct
0.000 0.500 0.000
0.000 0.000 0.000
0.500 0.500 0.500
0.000 0.000 0.500
0.500 0.000 0.000